# 1
SrZrS2N after structural relaxation. Source: Alexandria, functional GGA-PBE.

a b c (Å): 5.256 5.256 4.240
angles (deg): 90.00 90.00 90.00
Space group P4/mmm (No. 123)
Inequivalent atoms, fractional coordinates:
Sr: 0.000 0.000 0.000
Zr: 0.500 0.500 0.500
S: 0.000 0.500 0.000
N: 0.000 0.000 0.500

Summary:
Formation energy from raw total energies   0.698 eV/atom

=====

# 2
PmSmTl after structural relaxation. Source: Alexandria, functional GGA-PBE.

a b c (Å): 5.5344 5.5344 6.8686
angles (deg): 90.00 90.00 120.00
Space group P6_3/mmc (No. 194)
Inequivalent atoms, fractional coordinates:
Pm: 0.0000 0.0000 0.0000
Sm: 0.3333 0.6667 0.2500
Tl: 0.3333 0.6667 0.7500

Summary:
Formation energy   -0.266 eV per atom

=====

# 3
Pu2AuCl after structural relaxation. Source: Alexandria, functional GGA-PBE.

a b c (Å): 4.1693 4.1693 21.1253
angles (deg): 90.00 90.00 120.00
Space group R-3m (No. 166, hexagonal axes)
Inequivalent atoms, fractional coordinates:
Pu: 0.0000 0.0000 0.2494
Au: 0.0000 0.0000 0.0000
Cl: 0.0000 0.0000 0.5000

Summary:
Formation energy from raw total energies   -0.640 eV/atom

=====

# 4
Tb2Dy3Mg2 after structural relaxation. Source: Alexandria, functional GGA-PBE.

a b c (Å): 3.733 30.667 3.645
angles (deg): 90.00 90.00 90.00
Space group Cmmm (No. 65)
Inequivalent atoms, fractional coordinates:
Tb: 0.000 0.203 0.000
Dy: 0.000 0.079 0.000
Dy: 0.000 0.500 0.500
Mg: 0.000 0.359 0.500

Summary:
Formation energy   0.053 eV per atom

=====

# 5
EuHoHgSb after structural relaxation. Source: Alexandria, functional GGA-PBE.

a b c (Å): 7.624 7.624 7.624
angles (deg): 90.00 90.00 90.00
Space group F-43m (No. 216)
Inequivalent atoms, fractional coordinates:
Eu: 0.000 0.000 0.000
Ho: 0.000 0.000 0.500
Hg: 0.250 0.250 0.750
Sb: 0.250 0.250 0.250

Summary:
Formation energy from raw total energies   -0.629 eV/atom

=====

# 6
IrOsO after structural relaxation. Source: Alexandria, functional GGA-PBE.

a b c (Å): 2.7587 2.7587 11.2721
angles (deg): 90.00 90.00 120.00
Space group P-6m2 (No. 187)
Inequivalent atoms, fractional coordinates:
Ir: 0.0000 0.0000 0.0000
Ir: 0.3333 0.6667 0.5000
Os: 0.6667 0.3333 0.3039
O: 0.0000 0.0000 0.1780

Summary:
Formation energy from raw total energies   -0.089 eV/atom

=====

# 7
ReAgW after structural relaxation. Source: Alexandria, functional GGA-PBE.

a b c (Å): 2.669 4.281 8.386
angles (deg): 90.00 90.00 90.00
Space group Imm2 (No. 44)
Inequivalent atoms, fractional coordinates:
Re: 0.000 0.000 0.000
Ag: 0.000 0.000 0.334
W: 0.000 0.000 0.666

Summary:
Formation energy   0.499 eV per atom

=====

# 8
AlTeOs2 after structural relaxation. Source: Alexandria, functional GGA-PBE.

a b c (Å): 2.940 2.940 7.974
angles (deg): 90.00 90.00 90.00
Space group P4mm (No. 99)
Inequivalent atoms, fractional coordinates:
Al: 0.000 0.000 0.000
Te: 0.500 0.500 0.681
Os: 0.000 0.000 0.417
Os: 0.500 0.500 0.207

Summary:
Formation energy from raw total energies   0.320 eV/atom

=====

# 9
HoNpOsRu after structural relaxation. Source: Alexandria, functional GGA-PBE.

a b c (Å): 6.761 6.761 6.761
angles (deg): 90.00 90.00 90.00
Space group F-43m (No. 216)
Inequivalent atoms, fractional coordinates:
Ho: 0.000 0.000 0.000
Np: 0.000 0.000 0.500
Os: 0.250 0.250 0.750
Ru: 0.250 0.250 0.250

Summary:
Formation energy   -0.106 eV per atom

=====

# 10
EuYErLu after structural relaxation. Source: Alexandria, functional GGA-PBE.

a b c (Å): 8.060 8.060 8.060
angles (deg): 90.00 90.00 90.00
Space group F-43m (No. 216)
Inequivalent atoms, fractional coordinates:
Eu: 0.000 0.000 0.000
Y: 0.250 0.250 0.750
Er: 0.000 0.000 0.500
Lu: 0.250 0.250 0.250

Summary:
Formation energy   0.167 eV per atom

=====

# 11
MnGa3Se after structural relaxation. Source: Alexandria, functional GGA-PBE.

a b c (Å): 4.905 4.905 4.905
angles (deg): 90.00 90.00 90.00
Space group Pm-3m (No. 221)
Inequivalent atoms, fractional coordinates:
Mn: 0.000 0.000 0.000
Ga: 0.000 0.500 0.500
Se: 0.500 0.500 0.500

Summary:
Formation energy from raw total energies   0.786 eV/atom

=====

# 12
AlZnCo3 after structural relaxation. Source: Alexandria, functional GGA-PBE.

a b c (Å): 4.244 4.244 4.244
angles (deg): 90.00 90.00 90.00
Space group Pm-3m (No. 221)
Inequivalent atoms, fractional coordinates:
Al: 0.000 0.000 0.000
Zn: 0.500 0.500 0.500
Co: 0.000 0.000 0.500

Summary:
Formation energy   0.917 eV per atom

=====

| no. | E (eV per atom) |
| --- | --- |
| 1 | -4.6637 |
| 2 | -4.2109 |
| 3 | -9.0865 |
| 4 | -3.6981 |
| 5 | -5.4486 |
| 6 | -8.4384 |
| 7 | -8.9185 |
| 8 | -7.0163 |
| 9 | -9.6119 |
| 10 | -6.2886 |
| 11 | -3.5608 |
| 12 | -4.3499 |